# 1
The following is a PBE calculation of CsTaZn2Ga after structural relaxation, from Alexandria via LeMat-Bulk.

Results
Mass density in g/cm3: 3.50
E in eV per atom: -1.530
Total magnetic moment in μB/cell: 4.2
Energy relative to the elements in eV per atom: 2.126
Volume in A^3/atom: 48.8

Unit cell a=6.1819 b=6.1819 c=6.3871 alpha=90.00 beta=90.00 gamma=90.00
With the nearest neighbours (Å) after each atom.
Space group P4/mmm (No. 123)
Symmetry-distinct sites (fractional):
Cs 0.0000 0.0000 0.0000  4 Zn 3.09, 2 Ta 3.19
Ta 0.0000 0.0000 0.5000  2 Cs 3.19
Zn 0.0000 0.5000 0.0000  2 Cs 3.09
Ga 0.5000 0.5000 0.5000  4 Ta 4.37, 8 Zn 4.44

# 2
The following is a PBE calculation of CsTbGaTe3 after structural relaxation, from Alexandria via LeMat-Bulk.

Results
Mass density in g/cm3: 5.03
E in eV per atom: -3.970
ΔE_f (raw) in eV per atom: -0.9811
Total magnetic moment in μB/cell: 0.0
Volume in A^3/atom: 40.9

Unit cell a=10.2385 b=4.5758 c=11.0555 alpha=90.00 beta=108.45 gamma=90.00
With the nearest neighbours (Å) after each atom.
Space group P2_1/m (No. 11)
Symmetry-distinct sites (fractional):
Cs 0.2026 0.2500 0.2460  7 Te 3.85-4.17, 2 Ga 4.31
Tb 0.3435 0.7500 0.8715  6 Te 3.05-3.25
Ga 0.0766 0.2500 0.6151  4 Te 2.73-2.97
Te 0.1332 0.2500 0.8738  1 Ga 2.73
Te 0.2098 0.7500 0.5632  3 Ga 2.81-2.97
Te 0.4641 0.7500 0.1616  3 Tb 3.05-3.12

# 3
The following is a PBE calculation of Cs3Tb3GaTe8 after structural relaxation, from Alexandria via LeMat-Bulk.

Results
Mass density in g/cm3: 5.24
E in eV per atom: -4.040
ΔE_f (raw) in eV per atom: -1.0658
Total magnetic moment in μB/cell: 0.0
Volume in A^3/atom: 41.5

Unit cell a=15.2613 b=8.8111 c=10.5699 alpha=90.00 beta=118.79 gamma=90.00
With the nearest neighbours (Å) after each atom.
Space group C2/m (No. 12)
Symmetry-distinct sites (fractional):
Cs 0.0000 0.0000 0.0000  6 Te 3.82-3.86
Cs 0.2500 0.2500 0.0000  6 Te 3.82-3.86
Tb 0.0000 0.5000 0.5000  6 Te 3.10-3.11
Tb 0.2500 0.2500 0.5000  6 Te 3.10-3.11
Ga 0.0000 0.0000 0.5000  6 Te 2.94-2.96
Te 0.0190 0.2395 0.3177  1 Ga 2.96, 2 Tb 3.10
Te 0.2186 0.0000 0.6811  1 Ga 2.94, 2 Tb 3.10
Te 0.2310 0.5000 0.6927  3 Tb 3.11